Model P:
Entry from Alexandria: DyPaPt2 after structural relaxation (PBE-GGA).

Calculated values
N(E_F) = 3.2 states/eV/cell
Theoretical density = 13.53 g/cm³

Lattice parameters (Å, degrees): 7.3746 7.3746 7.3746 31.32 31.32 31.32
Closest atoms and distances in Å follow each position.
Element x y z (fractional)
Dy (0.0000, 0.0000, 0.0000)  6 Pt 2.89-2.98
Pa (0.1716, 0.1716, 0.1716)  6 Pt 2.83-2.86
Pt (0.5831, 0.5831, 0.5831)  3 Pa 2.83, 3 Dy 2.89
Pt (0.7571, 0.7571, 0.7571)  3 Pa 2.86, 3 Dy 2.98

=====

Model Q:
Entry from Alexandria: DyPaPt2 after structural relaxation (PBE-GGA).

Calculated values
N(E_F) = 5.7 states/eV/cell
Theoretical density = 15.10 g/cm³

Lattice parameters (Å, degrees): 3.4511 3.4511 7.2342 90.00 90.00 90.00
Closest atoms and distances in Å follow each position.
Element x y z (fractional)
Dy (0.0000, 0.0000, 0.0000)  8 Pt 3.05
Pa (0.0000, 0.0000, 0.5000)  8 Pt 3.03
Pt (0.5000, 0.5000, 0.2518)  4 Pa 3.03, 4 Dy 3.05
Pt (0.5000, 0.5000, 0.7482)  4 Pa 3.03, 4 Dy 3.05

=====

Energy ordering: model P at the bottom, the next structure 0.055 eV/atom above.

=====

Model P:
Entry from Alexandria: Dy2PaPt after structural relaxation (PBE-GGA).

Calculated values
N(E_F) = 5.6 states/eV/cell
Theoretical density = 12.66 g/cm³

Lattice parameters (Å, degrees): 3.4731 3.4731 8.1650 90.00 90.00 90.00
Closest atoms and distances in Å follow each position.
Element x y z (fractional)
Dy (0.0000, 0.0000, 0.2089)  4 Pt 2.99
Dy (0.0000, 0.0000, 0.7911)  4 Pt 2.99
Pa (0.5000, 0.5000, 0.5000)  8 Dy 3.42, 4 Pa 3.47
Pt (0.5000, 0.5000, 0.0000)  8 Dy 2.99

=====

Model Q:
Entry from Alexandria: Dy2PaPt after structural relaxation (PBE-GGA).

Calculated values
N(E_F) = 4.4 states/eV/cell
Theoretical density = 11.70 g/cm³

Lattice parameters (Å, degrees): 10.8310 10.8310 10.8310 18.06 18.06 18.06
Closest atoms and distances in Å follow each position.
Element x y z (fractional)
Dy (0.1029, 0.1029, 0.1029)  3 Pt 2.83
Dy (0.8971, 0.8971, 0.8971)  3 Pt 2.83
Pa (0.0000, 0.0000, 0.0000)  2 Dy 3.29, 6 Pa 3.40
Pt (0.5000, 0.5000, 0.5000)  6 Dy 2.83

=====

Energy ordering: model P at the bottom, the next structure 0.372 eV/atom above.

=====

Model P:
Entry from Alexandria: DyPaPtRh after structural relaxation (PBE-GGA).

Calculated values
N(E_F) = 4.2 states/eV/cell
Theoretical density = 13.21 g/cm³

Lattice parameters (Å, degrees): 4.2600 5.8147 5.8147 37.13 90.00 90.00
Closest atoms and distances in Å follow each position.
Element x y z (fractional)
Dy (0.0000, 0.0000, 0.0000)  1 Rh 2.84, 4 Pt 2.88
Pa (0.5000, 0.2750, 0.2750)  4 Rh 2.84, 3 Pt 3.06-3.07
Pt (0.5000, 0.5536, 0.5536)  4 Dy 2.88, 2 Rh 2.98, 3 Pa 3.06-3.07
Rh (0.0000, 0.7423, 0.7423)  1 Dy 2.84, 4 Pa 2.84, 2 Pt 2.98

=====

Model Q:
Entry from Alexandria: DyPaPtRh after structural relaxation (PBE-GGA).

Calculated values
N(E_F) = 6.4 states/eV/cell
Theoretical density = 13.65 g/cm³

Lattice parameters (Å, degrees): 4.9182 4.9182 4.9182 60.00 60.00 60.00
Closest atoms and distances in Å follow each position.
Element x y z (fractional)
Dy (0.0000, 0.0000, 0.0000)  4 Pt 3.01, 4 Rh 3.01
Pa (0.5000, 0.5000, 0.5000)  4 Rh 3.01, 4 Pt 3.01
Pt (0.7500, 0.7500, 0.7500)  4 Dy 3.01, 4 Pa 3.01
Rh (0.2500, 0.2500, 0.2500)  4 Dy 3.01, 4 Pa 3.01

=====

Energy ordering: model P at the bottom, the next structure 0.207 eV/atom above.